VASP calculation (PBEsol) on BaZnOs3 after structural relaxation.

Unit cell a=4.6550 b=4.6550 c=4.6550 alpha=90.00 beta=90.00 gamma=90.00
With the nearest neighbours (Å) after each atom.
Positions (direct):
Zn 0.0000 0.0000 0.0000  6 Os 2.33
Os 0.0000 0.5000 0.0000  2 Zn 2.33
Os 0.0000 0.0000 0.5000  2 Zn 2.33
Os 0.5000 0.0000 0.0000  2 Zn 2.33
Ba 0.5000 0.5000 0.5000  12 Os 3.29

Calculated values
Total energy = -6.21 eV/atom
Crystal system = cubic
Formation enthalpy at 0 K = 1869 meV per atom

VASP calculation (PBEsol) on BaZnOs2 after structural relaxation.

Unit cell a=2.7304 b=5.5658 c=5.5658 alpha=116.50 beta=90.00 gamma=90.00
With the nearest neighbours (Å) after each atom.
Positions (direct):
Ba 0.5000 0.5000 0.5000  2 Ba 2.73, 2 Zn 2.93
Os 0.0000 0.5000 0.0000  4 Os 2.73-2.93
Os 0.0000 0.0000 0.5000  4 Os 2.73-2.93
Zn 0.5000 0.0000 0.0000  2 Zn 2.73, 2 Ba 2.93

Calculated values
Total energy = -5.63 eV/atom
Crystal system = orthorhombic
Formation enthalpy at 0 K = 1407 meV per atom

VASP calculation (PBEsol) on BaZnOs2 after structural relaxation.

Unit cell a=4.1682 b=4.1682 c=5.1474 alpha=113.88 beta=113.88 gamma=90.00
With the nearest neighbours (Å) after each atom.
Positions (direct):
Ba 0.0000 0.0000 0.0000  4 Zn 2.95, 8 Os 2.97
Os 0.7500 0.2500 0.5000  4 Os 2.95, 4 Ba 2.97, 4 Zn 2.97
Os 0.2500 0.7500 0.5000  4 Os 2.95, 4 Ba 2.97, 4 Zn 2.97
Zn 0.5000 0.5000 0.0000  4 Ba 2.95, 8 Os 2.97

Calculated values
Total energy = -5.62 eV/atom
Crystal system = tetragonal
Formation enthalpy at 0 K = 1418 meV per atom

VASP calculation (PBEsol) on BaZnOs2 after structural relaxation.

Unit cell a=2.8355 b=4.9581 c=5.8853 alpha=114.91 beta=103.94 gamma=90.00
With the nearest neighbours (Å) after each atom.
Positions (direct):
Ba 0.0000 0.5000 0.0000  2 Ba 2.84, 4 Zn 2.86
Os 0.7826 0.7826 0.5652  2 Zn 2.65, 6 Os 2.84-2.93
Os 0.2174 0.2174 0.4348  2 Zn 2.65, 6 Os 2.84-2.93
Zn 0.5000 0.0000 0.0000  4 Os 2.65, 2 Zn 2.84, 4 Ba 2.86

Calculated values
Total energy = -6.02 eV/atom
Crystal system = orthorhombic
Formation enthalpy at 0 K = 1016 meV per atom

VASP calculation (PBEsol) on BaZnOs2 after structural relaxation.

Unit cell a=2.8647 b=4.0600 c=6.8773 alpha=90.00 beta=90.00 gamma=90.00
With the nearest neighbours (Å) after each atom.
Positions (direct):
Ba 0.5000 0.5000 0.5000  2 Ba 2.86
Os 0.0000 0.0000 0.8318  1 Os 2.31
Os 0.0000 0.0000 0.1682  1 Os 2.31
Zn 0.5000 0.5000 0.0000  8 Os 2.74, 2 Zn 2.86

Calculated values
Total energy = -6.14 eV/atom
Crystal system = orthorhombic
Formation enthalpy at 0 K = 897 meV per atom

VASP calculation (PBEsol) on BaZnOs2 after structural relaxation.

Unit cell a=4.0403 b=4.0403 c=4.6322 alpha=90.00 beta=90.00 gamma=90.00
With the nearest neighbours (Å) after each atom.
Positions (direct):
Ba 0.0000 0.0000 0.5000  4 Zn 2.86, 8 Os 3.07
Os 0.0000 0.5000 0.0000  4 Os 2.86, 4 Ba 3.07, 4 Zn 3.07
Os 0.5000 0.0000 0.0000  4 Os 2.86, 4 Ba 3.07, 4 Zn 3.07
Zn 0.5000 0.5000 0.5000  4 Ba 2.86, 8 Os 3.07

Calculated values
Total energy = -5.66 eV/atom
Crystal system = tetragonal
Formation enthalpy at 0 K = 1383 meV per atom

VASP calculation (PBEsol) on BaZr2Os after structural relaxation.

Unit cell a=3.3528 b=3.3528 c=8.7211 alpha=90.00 beta=90.00 gamma=90.00
With the nearest neighbours (Å) after each atom.
Positions (direct):
Ba 0.0000 0.0000 0.5442  4 Os 3.34, 4 Ba 3.35, 1 Zr 3.65
Os 0.5000 0.5000 0.8132  4 Zr 2.70
Zr 0.0000 0.0000 0.9625  4 Os 2.70
Zr 0.5000 0.5000 0.1800  8 Zr 3.04-3.35, 1 Os 3.20

Calculated values
Energy relative to the lowest polymorph listed for this composition = 0.0 meV per atom
Total energy = -7.90 eV/atom
Crystal system = tetragonal
Formation enthalpy at 0 K = 241 meV per atom

VASP calculation (PBEsol) on BaZr2Os after structural relaxation.

Unit cell a=3.1693 b=5.5382 c=5.5382 alpha=112.41 beta=100.35 gamma=100.35
With the nearest neighbours (Å) after each atom.
Positions (direct):
Ba 0.5000 0.5000 0.5000  4 Zr 2.93, 2 Os 3.08, 2 Ba 3.17
Os 0.5000 0.0000 0.0000  4 Zr 2.93, 2 Ba 3.08, 2 Os 3.17
Zr 0.0000 0.0000 0.5000  2 Ba 2.93, 2 Os 2.93, 4 Zr 3.08-3.17
Zr 0.0000 0.5000 0.0000  2 Os 2.93, 2 Ba 2.93, 4 Zr 3.08-3.17

Calculated values
Energy relative to the lowest polymorph listed for this composition = 473.7 meV per atom
Total energy = -7.42 eV/atom
Crystal system = monoclinic
Formation enthalpy at 0 K = 715 meV per atom

VASP calculation (PBEsol) on Ba5P4 after structural relaxation.

Unit cell a=8.3001 b=8.3810 c=16.4546 alpha=90.00 beta=90.00 gamma=90.00
With the nearest neighbours (Å) after each atom.
Positions (direct):
Ba 0.2544 0.0056 0.2500  6 P 3.26-3.49
Ba 0.7544 0.4944 0.2500  6 P 3.26-3.49
Ba 0.2456 0.5056 0.7500  6 P 3.26-3.49
Ba 0.7456 0.9944 0.7500  6 P 3.26-3.49
Ba 0.4275 0.6681 0.1028  5 P 3.19-3.34
Ba 0.9275 0.8319 0.3972  5 P 3.19-3.34
Ba 0.0725 0.1681 0.8972  5 P 3.19-3.34
Ba 0.5725 0.3319 0.6028  5 P 3.19-3.34
Ba 0.5725 0.3319 0.8972  5 P 3.19-3.34
Ba 0.0725 0.1681 0.6028  5 P 3.19-3.34
Ba 0.9275 0.8319 0.1028  5 P 3.19-3.34
Ba 0.4275 0.6681 0.3972  5 P 3.19-3.34
Ba 0.5902 0.1597 0.3967  5 P 3.19-3.31
Ba 0.0902 0.3403 0.1033  5 P 3.19-3.31
Ba 0.9098 0.6597 0.6033  5 P 3.19-3.31
Ba 0.4098 0.8403 0.8967  5 P 3.19-3.31
Ba 0.4098 0.8403 0.6033  5 P 3.19-3.31
Ba 0.9098 0.6597 0.8967  5 P 3.19-3.31
Ba 0.0902 0.3403 0.3967  5 P 3.19-3.31
Ba 0.5902 0.1597 0.1033  5 P 3.19-3.31
P 0.6459 0.5895 0.7500  1 P 2.29
P 0.1459 0.9105 0.7500  1 P 2.29
P 0.8541 0.0895 0.2500  1 P 2.29
P 0.3541 0.4105 0.2500  1 P 2.29
P 0.8420 0.3979 0.7500  1 P 2.29
P 0.3420 0.1021 0.7500  1 P 2.29
P 0.6580 0.8979 0.2500  1 P 2.29
P 0.1580 0.6021 0.2500  1 P 2.29
P 0.2537 0.0066 0.0521  7 Ba 3.19-3.29
P 0.7537 0.4934 0.4479  7 Ba 3.19-3.29
P 0.2463 0.5066 0.9479  7 Ba 3.19-3.29
P 0.7463 0.9934 0.5521  7 Ba 3.19-3.29
P 0.7463 0.9934 0.9479  7 Ba 3.19-3.29
P 0.2463 0.5066 0.5521  7 Ba 3.19-3.29
P 0.7537 0.4934 0.0521  7 Ba 3.19-3.29
P 0.2537 0.0066 0.4479  7 Ba 3.19-3.29

Calculated values
Total energy = -4.79 eV/atom
Crystal system = orthorhombic
Formation enthalpy at 0 K = -1020 meV per atom

VASP calculation (PBEsol) on Ba3P4 after structural relaxation.

Unit cell a=6.1547 b=7.9876 c=9.5429 alpha=82.86 beta=71.19 gamma=67.34
With the nearest neighbours (Å) after each atom.
Positions (direct):
Ba 0.7480 0.0000 0.0000  8 P 3.14-3.42
Ba 0.4980 0.5000 0.5000  8 P 3.14-3.42
Ba 0.8279 0.4888 0.8380  8 P 3.22-3.42
Ba 0.1547 0.5112 0.1620  8 P 3.22-3.42
Ba 0.4159 0.9888 0.6620  8 P 3.22-3.42
Ba 0.0668 0.0112 0.3380  8 P 3.22-3.42
P 0.5553 0.6922 0.1553  1 P 2.22
P 0.4028 0.3078 0.8447  1 P 2.22
P 0.4606 0.1922 0.3447  1 P 2.22
P 0.9975 0.8078 0.6553  1 P 2.22
P 0.1809 0.1567 0.9941  2 P 2.22-2.31
P 0.3318 0.8433 0.0059  2 P 2.22-2.31
P 0.9250 0.6567 0.5059  2 P 2.22-2.31
P 0.0877 0.3433 0.4941  2 P 2.22-2.31

Calculated values
Total energy = -5.19 eV/atom
Crystal system = orthorhombic
Formation enthalpy at 0 K = -957 meV per atom

VASP calculation (PBEsol) on BaP after structural relaxation.

Unit cell a=4.4432 b=4.9179 c=5.9594 alpha=97.44 beta=111.89 gamma=90.00
With the nearest neighbours (Å) after each atom.
Positions (direct):
P 0.5820 0.6615 0.1639  1 P 2.24
P 0.4180 0.3385 0.8361  1 P 2.24
Ba 0.1294 0.2254 0.2588  7 P 3.16-3.53, 1 Ba 3.37
Ba 0.8706 0.7746 0.7412  7 P 3.16-3.53, 1 Ba 3.37

Calculated values
Total energy = -4.94 eV/atom
Crystal system = monoclinic
Formation enthalpy at 0 K = -966 meV per atom

VASP calculation (PBEsol) on BaP3 after structural relaxation.

Unit cell a=6.4714 b=7.6841 c=8.1421 alpha=90.00 beta=104.89 gamma=90.00
With the nearest neighbours (Å) after each atom.
Positions (direct):
Ba 0.3132 0.1114 0.6979  10 P 3.24-3.55
Ba 0.6868 0.6114 0.8021  10 P 3.24-3.55
Ba 0.6868 0.8886 0.3021  10 P 3.24-3.55
Ba 0.3132 0.3886 0.1979  10 P 3.24-3.55
P 0.0357 0.6329 0.5551  3 P 2.20-2.23
P 0.9643 0.1329 0.9449  3 P 2.20-2.23
P 0.9643 0.3671 0.4449  3 P 2.20-2.23
P 0.0357 0.8671 0.0551  3 P 2.20-2.23
P 0.1874 0.5365 0.8128  2 P 2.18-2.20
P 0.8126 0.0365 0.6872  2 P 2.18-2.20
P 0.8126 0.4635 0.1872  2 P 2.18-2.20
P 0.1874 0.9635 0.3128  2 P 2.18-2.20
P 0.3038 0.7697 0.9598  2 P 2.18-2.21
P 0.6962 0.2697 0.5402  2 P 2.18-2.21
P 0.6962 0.2303 0.0402  2 P 2.18-2.21
P 0.3038 0.7303 0.4598  2 P 2.18-2.21

Calculated values
Total energy = -5.54 eV/atom
Crystal system = monoclinic
Formation enthalpy at 0 K = -660 meV per atom

VASP calculation (PBEsol) on Ba5P3 after structural relaxation.

Unit cell a=7.5088 b=9.2118 c=9.2118 alpha=120.00 beta=90.00 gamma=90.00
With the nearest neighbours (Å) after each atom.
Positions (direct):
Ba 0.0000 0.6667 0.3333  6 P 3.40, 2 Ba 3.75
Ba 0.5000 0.3333 0.6667  6 P 3.40, 2 Ba 3.75
Ba 0.0000 0.3333 0.6667  6 P 3.40, 2 Ba 3.75
Ba 0.5000 0.6667 0.3333  6 P 3.40, 2 Ba 3.75
Ba 0.7500 0.7405 0.7405  3 P 3.19-3.20
Ba 0.2500 0.2595 0.2595  3 P 3.19-3.20
Ba 0.7500 0.0000 0.2595  3 P 3.19-3.20
Ba 0.7500 0.2595 0.0000  3 P 3.19-3.20
Ba 0.2500 0.7405 0.0000  3 P 3.19-3.20
Ba 0.2500 0.0000 0.7405  3 P 3.19-3.20
P 0.7500 0.3929 0.3929  7 Ba 3.19-3.40
P 0.2500 0.6071 0.6071  7 Ba 3.19-3.40
P 0.7500 0.0000 0.6071  7 Ba 3.19-3.40
P 0.7500 0.6071 0.0000  7 Ba 3.19-3.40
P 0.2500 0.3929 0.0000  7 Ba 3.19-3.40
P 0.2500 0.0000 0.3929  7 Ba 3.19-3.40

Calculated values
Total energy = -4.43 eV/atom
Crystal system = hexagonal
Formation enthalpy at 0 K = -917 meV per atom

VASP calculation (PBEsol) on Ba3P14 after structural relaxation.

Unit cell a=6.4451 b=9.8719 c=12.9346 alpha=90.00 beta=90.00 gamma=89.59
With the nearest neighbours (Å) after each atom.
Positions (direct):
Ba 0.7916 0.3775 0.3499  9 P 3.25-3.56
Ba 0.7084 0.1225 0.8499  9 P 3.25-3.56
Ba 0.2084 0.6225 0.6501  9 P 3.25-3.56
Ba 0.2916 0.8775 0.1501  9 P 3.25-3.56
Ba 0.0000 0.0000 0.5000  8 P 3.26-3.37
Ba 0.5000 0.5000 0.0000  8 P 3.26-3.37
P 0.9051 0.1501 0.1492  3 P 2.17-2.30
P 0.5949 0.3499 0.6492  3 P 2.17-2.30
P 0.0949 0.8499 0.8508  3 P 2.17-2.30
P 0.4051 0.6501 0.3508  3 P 2.17-2.30
P 0.3930 0.3099 0.5092  3 P 2.16-2.27
P 0.1070 0.1901 0.0092  3 P 2.16-2.27
P 0.6737 0.9571 0.3108  2 P 2.16-2.20
P 0.8263 0.5429 0.8108  2 P 2.16-2.20
P 0.3263 0.0429 0.6892  2 P 2.16-2.20
P 0.1737 0.4571 0.1892  2 P 2.16-2.20
P 0.4506 0.8661 0.4135  3 P 2.16-2.30
P 0.0494 0.6339 0.9135  3 P 2.16-2.30
P 0.5494 0.1339 0.5865  3 P 2.16-2.30
P 0.9506 0.3661 0.0865  3 P 2.16-2.30
P 0.8627 0.7750 0.2813  3 P 2.19-2.20
P 0.6373 0.7250 0.7813  3 P 2.19-2.20
P 0.1373 0.2250 0.7187  3 P 2.19-2.20
P 0.3627 0.2750 0.2187  3 P 2.19-2.20
P 0.9221 0.6831 0.4336  2 P 2.16-2.20
P 0.5779 0.8169 0.9336  2 P 2.16-2.20
P 0.0779 0.3169 0.5664  2 P 2.16-2.20
P 0.4221 0.1831 0.0664  2 P 2.16-2.20
P 0.6226 0.6396 0.2230  2 P 2.17-2.19
P 0.8774 0.8604 0.7230  2 P 2.17-2.19
P 0.3774 0.3604 0.7770  2 P 2.17-2.19
P 0.1226 0.1396 0.2770  2 P 2.17-2.19
P 0.8930 0.8099 0.9908  3 P 2.16-2.27
P 0.6070 0.6901 0.4908  3 P 2.16-2.27

Calculated values
Total energy = -5.64 eV/atom
Crystal system = monoclinic
Formation enthalpy at 0 K = -488 meV per atom

VASP calculation (PBEsol) on BaP3 after structural relaxation.

Unit cell a=4.7254 b=6.9302 c=6.9302 alpha=66.90 beta=71.15 gamma=71.15
With the nearest neighbours (Å) after each atom.
Positions (direct):
P 0.2883 0.8189 0.3512  2 P 2.19-2.20
P 0.7117 0.6488 0.1811  2 P 2.19-2.20
P 0.7117 0.1811 0.6488  2 P 2.19-2.20
P 0.2883 0.3512 0.8189  2 P 2.19-2.20
P 0.0136 0.5940 0.5940  3 P 2.19-2.23
P 0.9864 0.4060 0.4060  3 P 2.19-2.23
Ba 0.3157 0.8276 0.8276  8 P 3.18-3.51
Ba 0.6843 0.1724 0.1724  8 P 3.18-3.51

Calculated values
Total energy = -5.55 eV/atom
Crystal system = monoclinic
Formation enthalpy at 0 K = -670 meV per atom

VASP calculation (PBEsol) on BaP2Pd2 after structural relaxation.

Unit cell a=4.2293 b=4.2293 c=5.6030 alpha=90.00 beta=90.00 gamma=90.00
With the nearest neighbours (Å) after each atom.
Positions (direct):
P 0.5000 0.5000 0.7146  1 P 2.40, 4 Pd 2.43
P 0.5000 0.5000 0.2854  1 P 2.40, 4 Pd 2.43
Ba 0.0000 0.0000 0.0000  8 P 3.39, 8 Pd 3.51
Pd 0.5000 0.0000 0.5000  4 P 2.43
Pd 0.0000 0.5000 0.5000  4 P 2.43

Calculated values
Total energy = -5.96 eV/atom
Crystal system = tetragonal
Formation enthalpy at 0 K = -827 meV per atom

VASP calculation (PBEsol) on BaTiP2Pd after structural relaxation.

Unit cell a=4.7771 b=4.8790 c=4.8790 alpha=90.00 beta=90.00 gamma=90.00
With the nearest neighbours (Å) after each atom.
Positions (direct):
P 0.0000 0.0000 0.5000  2 Pd 2.44
P 0.0000 0.5000 0.0000  2 Pd 2.44
Ba 0.5000 0.5000 0.5000  8 P 3.41, 4 Ti 3.45
Pd 0.0000 0.0000 0.0000  2 Ti 2.39, 4 P 2.44
Ti 0.5000 0.0000 0.0000  2 Pd 2.39

Calculated values
Total energy = -5.51 eV/atom
Crystal system = tetragonal
Formation enthalpy at 0 K = 97 meV per atom

VASP calculation (PBEsol) on BaP2Pt after structural relaxation.

Unit cell a=4.8329 b=4.8329 c=4.8329 alpha=60.00 beta=60.00 gamma=60.00
With the nearest neighbours (Å) after each atom.
Positions (direct):
Ba 0.0000 0.0000 0.0000  8 P 2.96
P 0.2500 0.2500 0.2500  4 Pt 2.96, 4 Ba 2.96
P 0.7500 0.7500 0.7500  4 Ba 2.96, 4 Pt 2.96
Pt 0.5000 0.5000 0.5000  8 P 2.96

Calculated values
Total energy = -5.07 eV/atom
Crystal system = cubic
Formation enthalpy at 0 K = 106 meV per atom

VASP calculation (PBEsol) on BaP2Pt after structural relaxation.

Unit cell a=4.0309 b=5.2252 c=5.2252 alpha=73.84 beta=67.31 gamma=67.31
With the nearest neighbours (Å) after each atom.
Positions (direct):
Ba 0.5000 0.0000 0.0000  8 P 3.18-3.36
P 0.3367 0.6633 0.6633  2 Pt 2.34, 1 P 2.39
P 0.6633 0.3367 0.3367  2 Pt 2.34, 1 P 2.39
Pt 0.0000 0.5000 0.5000  4 P 2.34

Calculated values
Total energy = -5.86 eV/atom
Crystal system = orthorhombic
Formation enthalpy at 0 K = -686 meV per atom

VASP calculation (PBEsol) on BaP2Pt after structural relaxation.

Unit cell a=3.8735 b=4.5818 c=5.8852 alpha=106.52 beta=109.21 gamma=90.00
With the nearest neighbours (Å) after each atom.
Positions (direct):
P 0.9819 0.0231 0.9637  1 P 2.22, 2 Pt 2.40
P 0.8871 0.5208 0.7741  1 P 2.22, 2 Pt 2.37
Ba 0.1952 0.6752 0.3903  5 P 3.12-3.28, 1 Pt 3.22
Pt 0.4359 0.2808 0.8718  4 P 2.37-2.40

Calculated values
Total energy = -6.03 eV/atom
Crystal system = monoclinic
Formation enthalpy at 0 K = -858 meV per atom